Entry 1:
{
  "formula": "Cs3AsO4",
  "functional": "PBE",
  "state": "relaxed",
  "spacegroup": "Imm2, No. 44",
  "energy_ev_per_atom": -5.025,
  "volume_a3_per_atom": 25.3,
  "e_form_raw_ev_per_atom": -1.64,
  "cell": [[6.543, -0.026, -0.047], [-3.245, 5.682, 0.047], [-2.921, -2.086, 5.471]],
  "species": ["Cs", "Cs", "Cs", "O", "O", "O", "O", "As"],
  "frac_coords": [[0.055, 0.000, 0.055], [0.548, 0.759, 0.307], [0.548, 0.241, 0.788], [0.070, 0.715, 0.355], [0.639, 0.285, 0.355], [0.145, 0.341, 0.486], [0.145, 0.659, 0.803], [0.002, 0.500, 0.502]]
}


Entry 2:
{
  "formula": "Pm3AgOs",
  "functional": "PBE",
  "state": "relaxed",
  "spacegroup": "Fmmm, No. 69",
  "energy_ev_per_atom": -5.848,
  "volume_a3_per_atom": 26.4,
  "cell": [[5.934, 0.022, -1.199], [-2.790, 5.238, -1.199], [-0.094, -0.158, 8.560]],
  "species": ["Pm", "Pm", "Pm", "Pm", "Pm", "Pm", "Os", "Os", "Ag", "Ag"],
  "frac_coords": [[0.704, 0.580, 0.284], [0.695, 0.195, 0.889], [0.920, 0.796, 0.716], [0.080, 0.204, 0.284], [0.296, 0.420, 0.716], [0.305, 0.805, 0.111], [0.250, 0.250, 0.000], [0.750, 0.750, 0.000], [0.294, 0.794, 0.500], [0.706, 0.206, 0.500]]
}